(1)
{
  "formula": "KMnPb",
  "functional": "PBE-GGA",
  "state": "optimized geometry",
  "lattice": [[7.2687, 0.0000, 0.0000], [0.0000, 7.2687, 0.0000], [0.0000, 0.0000, 7.2687]],
  "species": ["K", "K", "K", "K", "Mn", "Mn", "Mn", "Mn", "Pb", "Pb", "Pb", "Pb"],
  "frac_coords": [[0.0000, 0.0000, 0.0000], [0.0000, 0.5000, 0.5000], [0.5000, 0.0000, 0.5000], [0.5000, 0.5000, 0.0000], [0.2500, 0.2500, 0.2500], [0.2500, 0.7500, 0.7500], [0.7500, 0.2500, 0.7500], [0.7500, 0.7500, 0.2500], [0.0000, 0.0000, 0.5000], [0.0000, 0.5000, 0.0000], [0.5000, 0.0000, 0.0000], [0.5000, 0.5000, 0.5000]],
  "polymorph_energy_ev_per_atom": 0.213,
  "rho_kg_m3": 5210,
  "spacegroup": "No. 216",
  "dos_ef_per_ev_atom": 0.35,
  "delta_e_f_ev_per_fu": 1.7
}

***

(2)
{
  "formula": "KMnPb",
  "functional": "PBE-GGA",
  "state": "optimized geometry",
  "lattice": [[3.5431, 0.0000, 0.0000], [-1.7716, 3.0684, 0.0000], [0.0000, 0.0000, 8.2954]],
  "species": ["K", "Mn", "Pb"],
  "frac_coords": [[0.0000, 0.0000, 0.0000], [0.6667, 0.3333, 0.3706], [0.3333, 0.6667, 0.6312]],
  "polymorph_energy_ev_per_atom": 0.215,
  "rho_kg_m3": 5546,
  "spacegroup": "No. 156",
  "dos_ef_per_ev_atom": 0.63,
  "delta_e_f_ev_per_fu": 1.7
}

***

(3)
{
  "formula": "KMnPb2",
  "functional": "PBE-GGA",
  "state": "optimized geometry",
  "lattice": [[6.2481, 0.0000, 0.0000], [0.0000, 6.2481, 0.0000], [0.0000, 0.0000, 17.4368]],
  "species": ["K", "K", "K", "K", "Mn", "Mn", "Mn", "Mn", "Pb", "Pb", "Pb", "Pb", "Pb", "Pb", "Pb", "Pb"],
  "frac_coords": [[0.0000, 0.2500, 0.3750], [0.0000, 0.7500, 0.6250], [0.5000, 0.2500, 0.1250], [0.5000, 0.7500, 0.8750], [0.0000, 0.2500, 0.8750], [0.0000, 0.7500, 0.1250], [0.5000, 0.2500, 0.6250], [0.5000, 0.7500, 0.3750], [0.0000, 0.0000, 0.0000], [0.0000, 0.5000, 0.0000], [0.2500, 0.2500, 0.7500], [0.2500, 0.7500, 0.2500], [0.5000, 0.0000, 0.5000], [0.5000, 0.5000, 0.5000], [0.7500, 0.2500, 0.7500], [0.7500, 0.7500, 0.2500]],
  "polymorph_energy_ev_per_atom": 0.232,
  "rho_kg_m3": 4961,
  "spacegroup": "No. 141",
  "dos_ef_per_ev_atom": 0.43,
  "delta_e_f_ev_per_fu": 1.5
}

***

(4)
{
  "formula": "KMnPb",
  "functional": "PBE-GGA",
  "state": "optimized geometry",
  "lattice": [[4.8708, 0.0000, 0.0000], [-2.4354, 4.2182, 0.0000], [0.0000, 0.0000, 4.8418]],
  "species": ["K", "Mn", "Pb"],
  "frac_coords": [[0.0000, 0.0000, 0.0000], [0.6667, 0.3333, 0.5000], [0.3333, 0.6667, 0.5000]],
  "polymorph_energy_ev_per_atom": 0.042,
  "rho_kg_m3": 5028,
  "spacegroup": "No. 187",
  "dos_ef_per_ev_atom": 0.54,
  "delta_e_f_ev_per_fu": 1.2
}

***

(5)
{
  "formula": "KMnPb2",
  "functional": "PBE-GGA",
  "state": "optimized geometry",
  "lattice": [[3.4503, 0.0000, 0.0000], [0.0000, 3.9804, 0.0000], [0.0000, 0.0000, 8.3585]],
  "species": ["K", "Mn", "Pb", "Pb"],
  "frac_coords": [[0.0000, 0.0000, 0.0000], [0.0000, 0.0000, 0.5000], [0.5000, 0.5000, 0.3107], [0.5000, 0.5000, 0.6893]],
  "polymorph_energy_ev_per_atom": 0.000,
  "rho_kg_m3": 7355,
  "spacegroup": "No. 47",
  "dos_ef_per_ev_atom": 0.50,
  "delta_e_f_ev_per_fu": 0.5
}

***

(6)
{
  "formula": "KMnPb2",
  "functional": "PBE-GGA",
  "state": "optimized geometry",
  "lattice": [[7.8256, 0.0000, 0.0000], [0.0000, 7.8256, 0.0000], [0.0000, 0.0000, 7.8256]],
  "species": ["K", "K", "K", "K", "Mn", "Mn", "Mn", "Mn", "Pb", "Pb", "Pb", "Pb", "Pb", "Pb", "Pb", "Pb"],
  "frac_coords": [[0.0000, 0.0000, 0.0000], [0.0000, 0.5000, 0.5000], [0.5000, 0.0000, 0.5000], [0.5000, 0.5000, 0.0000], [0.2500, 0.2500, 0.7500], [0.2500, 0.7500, 0.2500], [0.7500, 0.2500, 0.2500], [0.7500, 0.7500, 0.7500], [0.0000, 0.0000, 0.5000], [0.0000, 0.5000, 0.0000], [0.2500, 0.2500, 0.2500], [0.2500, 0.7500, 0.7500], [0.5000, 0.0000, 0.0000], [0.5000, 0.5000, 0.5000], [0.7500, 0.2500, 0.7500], [0.7500, 0.7500, 0.2500]],
  "polymorph_energy_ev_per_atom": 0.309,
  "rho_kg_m3": 7047,
  "spacegroup": "No. 216",
  "dos_ef_per_ev_atom": 0.83,
  "delta_e_f_ev_per_fu": 1.8
}

***

(7)
{
  "formula": "KMnPb2",
  "functional": "PBE-GGA",
  "state": "optimized geometry",
  "lattice": [[3.7712, 0.0000, 0.0000], [0.0000, 4.0806, 0.0000], [0.0000, 0.0000, 8.4041]],
  "species": ["K", "Mn", "Pb", "Pb"],
  "frac_coords": [[0.0000, 0.0000, 0.0000], [0.5000, 0.5000, 0.3636], [0.0000, 0.0000, 0.4207], [0.5000, 0.5000, 0.6954]],
  "polymorph_energy_ev_per_atom": 0.176,
  "rho_kg_m3": 6528,
  "spacegroup": "No. 25",
  "dos_ef_per_ev_atom": 0.70,
  "delta_e_f_ev_per_fu": 1.2
}

***

(8)
{
  "formula": "KMnPb2",
  "functional": "PBE-GGA",
  "state": "optimized geometry",
  "lattice": [[3.5980, 0.0000, 0.0000], [-1.7990, 3.1160, 0.0000], [0.0000, 0.0000, 30.4386]],
  "species": ["K", "K", "K", "Mn", "Mn", "Mn", "Pb", "Pb", "Pb", "Pb", "Pb", "Pb"],
  "frac_coords": [[0.0000, 0.0000, 0.0000], [0.3333, 0.6667, 0.6667], [0.6667, 0.3333, 0.3333], [0.0000, 0.0000, 0.5000], [0.3333, 0.6667, 0.1667], [0.6667, 0.3333, 0.8333], [0.0000, 0.0000, 0.2353], [0.0000, 0.0000, 0.7647], [0.3333, 0.6667, 0.4314], [0.3333, 0.6667, 0.9020], [0.6667, 0.3333, 0.0980], [0.6667, 0.3333, 0.5686]],
  "polymorph_energy_ev_per_atom": 0.094,
  "rho_kg_m3": 7422,
  "spacegroup": "No. 166",
  "dos_ef_per_ev_atom": 0.48,
  "delta_e_f_ev_per_fu": 0.9
}

***

(9)
{
  "formula": "K2Mn4Pb",
  "functional": "PBE-GGA",
  "state": "optimized geometry",
  "lattice": [[5.2874, 0.0000, 0.0000], [0.0000, 5.2874, 0.0000], [0.0000, 0.0000, 18.1548]],
  "species": ["K", "K", "K", "K", "Mn", "Mn", "Mn", "Mn", "Mn", "Mn", "Mn", "Mn", "Pb", "Pb"],
  "frac_coords": [[0.0000, 0.0000, 0.1486], [0.0000, 0.0000, 0.8514], [0.5000, 0.5000, 0.3514], [0.5000, 0.5000, 0.6486], [0.0000, 0.0000, 0.3477], [0.0000, 0.0000, 0.6523], [0.0000, 0.5000, 0.0000], [0.0000, 0.5000, 0.5000], [0.5000, 0.0000, 0.0000], [0.5000, 0.0000, 0.5000], [0.5000, 0.5000, 0.1523], [0.5000, 0.5000, 0.8477], [0.0000, 0.0000, 0.5000], [0.5000, 0.5000, 0.0000]],
  "rho_kg_m3": 3305,
  "spacegroup": "No. 139",
  "dos_ef_per_ev_atom": 1.21,
  "delta_e_f_ev_per_fu": 8.5
}

***

(10)
{
  "formula": "KMnPb2",
  "functional": "PBE-GGA",
  "state": "optimized geometry",
  "lattice": [[9.0637, 0.0000, 0.0000], [0.0000, 3.6345, 0.0000], [-1.2371, 0.0000, 7.5892]],
  "species": ["K", "K", "Mn", "Mn", "Pb", "Pb", "Pb", "Pb"],
  "frac_coords": [[0.0000, 0.0000, 0.0000], [0.5000, 0.5000, 0.0000], [0.0000, 0.5000, 0.5000], [0.5000, 0.0000, 0.5000], [0.2348, 0.0000, 0.6706], [0.2652, 0.5000, 0.3294], [0.7348, 0.5000, 0.6706], [0.7652, 0.0000, 0.3294]],
  "polymorph_energy_ev_per_atom": 0.018,
  "rho_kg_m3": 6754,
  "spacegroup": "No. 12",
  "dos_ef_per_ev_atom": 0.54,
  "delta_e_f_ev_per_fu": 0.6
}

***

(11)
{
  "formula": "KMnPb2",
  "functional": "PBE-GGA",
  "state": "optimized geometry",
  "lattice": [[6.8557, 0.0000, 0.0000], [0.0000, 10.1266, 0.0000], [0.0000, 0.0000, 3.2854]],
  "species": ["K", "K", "Mn", "Mn", "Pb", "Pb", "Pb", "Pb"],
  "frac_coords": [[0.0000, 0.0000, 0.0000], [0.5000, 0.5000, 0.0000], [0.0000, 0.5000, 0.0000], [0.5000, 0.0000, 0.0000], [0.2500, 0.2500, 0.5000], [0.2500, 0.7500, 0.5000], [0.7500, 0.2500, 0.5000], [0.7500, 0.7500, 0.5000]],
  "polymorph_energy_ev_per_atom": 0.248,
  "rho_kg_m3": 7403,
  "spacegroup": "No. 65",
  "dos_ef_per_ev_atom": 0.60,
  "delta_e_f_ev_per_fu": 1.5
}

***

(12)
{
  "formula": "KMnPb2",
  "functional": "PBE-GGA",
  "state": "optimized geometry",
  "lattice": [[4.9271, 0.0000, 0.0000], [0.0000, 4.9271, 0.0000], [0.0000, 0.0000, 4.7201]],
  "species": ["K", "Mn", "Pb", "Pb"],
  "frac_coords": [[0.0000, 0.0000, 0.0000], [0.5000, 0.5000, 0.0000], [0.0000, 0.5000, 0.5000], [0.5000, 0.0000, 0.5000]],
  "polymorph_energy_ev_per_atom": 0.247,
  "rho_kg_m3": 7368,
  "spacegroup": "No. 123",
  "dos_ef_per_ev_atom": 0.45,
  "delta_e_f_ev_per_fu": 1.5
}

***

(13)
{
  "formula": "KMnPb",
  "functional": "PBE-GGA",
  "state": "optimized geometry",
  "lattice": [[7.5764, 0.0000, 0.0000], [0.0000, 7.5764, 0.0000], [0.0000, 0.0000, 7.5764]],
  "species": ["K", "K", "K", "K", "Mn", "Mn", "Mn", "Mn", "Pb", "Pb", "Pb", "Pb"],
  "frac_coords": [[0.0000, 0.0000, 0.0000], [0.0000, 0.5000, 0.5000], [0.5000, 0.0000, 0.5000], [0.5000, 0.5000, 0.0000], [0.2500, 0.2500, 0.2500], [0.2500, 0.7500, 0.7500], [0.7500, 0.2500, 0.7500], [0.7500, 0.7500, 0.2500], [0.2500, 0.2500, 0.7500], [0.2500, 0.7500, 0.2500], [0.7500, 0.2500, 0.2500], [0.7500, 0.7500, 0.7500]],
  "polymorph_energy_ev_per_atom": 0.714,
  "rho_kg_m3": 4601,
  "spacegroup": "No. 216",
  "dos_ef_per_ev_atom": 0.61,
  "delta_e_f_ev_per_fu": 3.2
}

***

(14)
{
  "formula": "KMnPb",
  "functional": "PBE-GGA",
  "state": "optimized geometry",
  "lattice": [[3.8959, 0.0000, 0.0000], [0.0000, 3.8959, 0.0000], [0.0000, 0.0000, 12.7454]],
  "species": ["K", "K", "Mn", "Mn", "Pb", "Pb"],
  "frac_coords": [[0.0000, 0.0000, 0.0000], [0.5000, 0.5000, 0.5000], [0.0000, 0.0000, 0.7274], [0.5000, 0.5000, 0.2274], [0.0000, 0.0000, 0.2839], [0.5000, 0.5000, 0.7839]],
  "polymorph_energy_ev_per_atom": 0.000,
  "rho_kg_m3": 5171,
  "spacegroup": "No. 107",
  "dos_ef_per_ev_atom": 0.32,
  "delta_e_f_ev_per_fu": 1.1
}

***

(15)
{
  "formula": "KMnPb2",
  "functional": "PBE-GGA",
  "state": "optimized geometry",
  "lattice": [[3.5214, 0.0000, 0.0000], [0.0000, 4.5110, 0.0000], [0.0000, 0.0000, 7.8033]],
  "species": ["K", "Mn", "Pb", "Pb"],
  "frac_coords": [[0.0000, 0.0000, 0.0000], [0.5000, 0.0000, 0.4850], [0.0000, 0.5000, 0.3588], [0.5000, 0.5000, 0.7116]],
  "polymorph_energy_ev_per_atom": 0.053,
  "rho_kg_m3": 6811,
  "spacegroup": "No. 25",
  "dos_ef_per_ev_atom": 0.59,
  "delta_e_f_ev_per_fu": 0.7
}

***

(16)
{
  "formula": "KMnPb2",
  "functional": "PBE-GGA",
  "state": "optimized geometry",
  "lattice": [[9.0305, 0.0000, 0.0000], [0.0000, 3.6085, 0.0000], [-3.8444, 0.0000, 7.6939]],
  "species": ["K", "K", "Mn", "Mn", "Pb", "Pb", "Pb", "Pb"],
  "frac_coords": [[0.0000, 0.0000, 0.0000], [0.5000, 0.5000, 0.0000], [0.2771, 0.5000, 0.4927], [0.7771, 0.0000, 0.4927], [0.1366, 0.0000, 0.6652], [0.4177, 0.0000, 0.3243], [0.6366, 0.5000, 0.6652], [0.9177, 0.5000, 0.3243]],
  "polymorph_energy_ev_per_atom": 0.025,
  "rho_kg_m3": 6735,
  "spacegroup": "No. 8",
  "dos_ef_per_ev_atom": 0.55,
  "delta_e_f_ev_per_fu": 0.6
}

***

(17)
{
  "formula": "KMnPb3",
  "functional": "PBE-GGA",
  "state": "optimized geometry",
  "lattice": [[5.3915, 0.0000, 0.0000], [0.0000, 5.3915, 0.0000], [0.0000, 0.0000, 5.3915]],
  "species": ["K", "Mn", "Pb", "Pb", "Pb"],
  "frac_coords": [[0.0000, 0.0000, 0.0000], [0.5000, 0.5000, 0.5000], [0.0000, 0.5000, 0.5000], [0.5000, 0.0000, 0.5000], [0.5000, 0.5000, 0.0000]],
  "polymorph_energy_ev_per_atom": 0.000,
  "rho_kg_m3": 7582,
  "spacegroup": "No. 221",
  "dos_ef_per_ev_atom": 0.67,
  "delta_e_f_ev_per_fu": 0.7
}

***

(18)
{
  "formula": "KMn4Pb",
  "functional": "PBE-GGA",
  "state": "optimized geometry",
  "lattice": [[0.0000, 3.9906, 3.9906], [3.9906, 0.0000, 3.9906], [3.9906, 3.9906, 0.0000]],
  "species": ["K", "Mn", "Mn", "Mn", "Mn", "Pb"],
  "frac_coords": [[0.0000, 0.0000, 0.0000], [0.1289, 0.6237, 0.6237], [0.6237, 0.1289, 0.6237], [0.6237, 0.6237, 0.1289], [0.6237, 0.6237, 0.6237], [0.2500, 0.2500, 0.2500]],
  "rho_kg_m3": 6089,
  "spacegroup": "No. 216",
  "dos_ef_per_ev_atom": 1.07,
  "delta_e_f_ev_per_fu": 4.4
}

***

(19)
{
  "formula": "KMnPb2",
  "functional": "PBE-GGA",
  "state": "optimized geometry",
  "lattice": [[3.6478, 0.0000, 0.0000], [0.0000, 4.4177, 0.0000], [0.0000, 0.0000, 16.0959]],
  "species": ["K", "K", "Mn", "Mn", "Pb", "Pb", "Pb", "Pb"],
  "frac_coords": [[0.0000, 0.0000, 0.0000], [0.5000, 0.5000, 0.5000], [0.0000, 0.5000, 0.2482], [0.5000, 0.0000, 0.7482], [0.0000, 0.0000, 0.3613], [0.0000, 0.5000, 0.6953], [0.5000, 0.0000, 0.1953], [0.5000, 0.5000, 0.8613]],
  "polymorph_energy_ev_per_atom": 0.076,
  "rho_kg_m3": 6510,
  "spacegroup": "No. 44",
  "dos_ef_per_ev_atom": 0.54,
  "delta_e_f_ev_per_fu": 0.8
}

***

(20)
{
  "formula": "KMn2Pb3Se6",
  "functional": "PBE-GGA",
  "state": "optimized geometry",
  "lattice": [[9.0038, -2.1090, 0.0000], [9.0038, 2.1090, 0.0000], [-1.5659, 0.0000, 8.4978]],
  "species": ["K", "Mn", "Mn", "Pb", "Pb", "Pb", "Se", "Se", "Se", "Se", "Se", "Se"],
  "frac_coords": [[0.0000, 0.0000, 0.0000], [0.3270, 0.3270, 0.6780], [0.6730, 0.6730, 0.3220], [0.0000, 0.0000, 0.5000], [0.3372, 0.3372, 0.1796], [0.6628, 0.6628, 0.8204], [0.1786, 0.1786, 0.1328], [0.1794, 0.1794, 0.5799], [0.4677, 0.4677, 0.7220], [0.5323, 0.5323, 0.2780], [0.8206, 0.8206, 0.4201], [0.8214, 0.8214, 0.8672]],
  "rho_kg_m3": 6402,
  "spacegroup": "No. 12",
  "dos_ef_per_ev_atom": 0.24,
  "raw_formation_energy_ev_per_atom": -0.530
}